MgMo3O: relaxed, PBE+U.

Properties
Final energy: -4.880 eV per atom
Relative energy among the computed polymorphs: 0.0 meV per atom

The structure in CIF format:
```
data_MgMo3O
_cell_length_a 4.207
_cell_length_b 4.207
_cell_length_c 4.207
_cell_angle_alpha 90.00
_cell_angle_beta 90.00
_cell_angle_gamma 90.00
_space_group_name_H-M_alt 'P 1'
_space_group_IT_number 1
loop_
_space_group_symop_operation_xyz
'x,y,z'
loop_
_atom_site_label
_atom_site_type_symbol
_atom_site_fract_x
_atom_site_fract_y
_atom_site_fract_z
Mg1 Mg 0.000 0.000 0.000
Mo1 Mo 0.000 0.500 0.500
Mo2 Mo 0.500 0.000 0.500
Mo3 Mo 0.500 0.500 0.000
O1 O 0.500 0.500 0.500
```



Mg3MoO: relaxed, PBE+U.

Properties
Final energy: -2.119 eV per atom
Relative energy among the computed polymorphs: 1708.6 meV per atom

The structure in CIF format:
```
data_Mg3MoO
_cell_length_a 5.562
_cell_length_b 5.562
_cell_length_c 5.562
_cell_angle_alpha 90.00
_cell_angle_beta 90.00
_cell_angle_gamma 90.00
_space_group_name_H-M_alt 'P 1'
_space_group_IT_number 1
loop_
_space_group_symop_operation_xyz
'x,y,z'
loop_
_atom_site_label
_atom_site_type_symbol
_atom_site_fract_x
_atom_site_fract_y
_atom_site_fract_z
Mg1 Mg 0.000 0.000 0.500
Mg2 Mg 0.000 0.500 0.000
Mg3 Mg 0.500 0.000 0.000
Mo1 Mo 0.000 0.000 0.000
O1 O 0.500 0.500 0.500
```



Mg2MoO: relaxed, PBE+U.

Properties
Final energy: -4.284 eV per atom

The structure in CIF format:
```
data_Mg2MoO
_cell_length_a 6.096
_cell_length_b 6.096
_cell_length_c 6.096
_cell_angle_alpha 118.13
_cell_angle_beta 118.13
_cell_angle_gamma 93.27
_space_group_name_H-M_alt 'P 1'
_space_group_IT_number 1
loop_
_space_group_symop_operation_xyz
'x,y,z'
loop_
_atom_site_label
_atom_site_type_symbol
_atom_site_fract_x
_atom_site_fract_y
_atom_site_fract_z
Mg1 Mg 0.375 0.217 0.342
Mg2 Mg 0.783 0.125 0.158
Mg3 Mg 0.875 0.033 0.658
Mg4 Mg 0.967 0.625 0.842
Mo1 Mo 0.250 0.750 0.500
Mo2 Mo 0.500 0.500 0.000
O1 O 0.000 0.000 0.000
O2 O 0.750 0.250 0.500
```



Mg4Mo3O12: relaxed, PBE+U.

Properties
Final energy: -6.667 eV per atom

The structure in CIF format:
```
data_Mg4Mo3O12
_cell_length_a 5.229
_cell_length_b 10.753
_cell_length_c 17.328
_cell_angle_alpha 90.00
_cell_angle_beta 90.00
_cell_angle_gamma 90.00
_space_group_name_H-M_alt 'P 1'
_space_group_IT_number 1
loop_
_space_group_symop_operation_xyz
'x,y,z'
loop_
_atom_site_label
_atom_site_type_symbol
_atom_site_fract_x
_atom_site_fract_y
_atom_site_fract_z
Mg1 Mg 0.076 0.250 0.250
Mg2 Mg 0.224 0.750 0.197
Mg3 Mg 0.237 0.071 0.526
Mg4 Mg 0.237 0.429 0.526
Mg5 Mg 0.263 0.571 0.026
Mg6 Mg 0.263 0.929 0.026
Mg7 Mg 0.276 0.250 0.697
Mg8 Mg 0.424 0.750 0.750
Mg9 Mg 0.576 0.250 0.250
Mg10 Mg 0.724 0.750 0.303
Mg11 Mg 0.737 0.071 0.974
Mg12 Mg 0.737 0.429 0.974
Mg13 Mg 0.763 0.571 0.474
Mg14 Mg 0.763 0.929 0.474
Mg15 Mg 0.776 0.250 0.803
Mg16 Mg 0.924 0.750 0.750
Mo1 Mo 0.215 0.035 0.833
Mo2 Mo 0.215 0.465 0.833
Mo3 Mo 0.227 0.750 0.555
Mo4 Mo 0.273 0.250 0.055
Mo5 Mo 0.285 0.535 0.333
Mo6 Mo 0.285 0.965 0.333
Mo7 Mo 0.715 0.035 0.667
Mo8 Mo 0.715 0.465 0.667
Mo9 Mo 0.727 0.750 0.945
Mo10 Mo 0.773 0.250 0.445
Mo11 Mo 0.785 0.535 0.167
Mo12 Mo 0.785 0.965 0.167
O1 O 0.024 0.625 0.276
O2 O 0.024 0.875 0.276
O3 O 0.048 0.623 0.120
O4 O 0.048 0.877 0.120
O5 O 0.062 0.250 0.504
O6 O 0.081 0.115 0.036
O7 O 0.081 0.385 0.036
O8 O 0.086 0.003 0.423
O9 O 0.086 0.497 0.423
O10 O 0.167 0.750 0.656
O11 O 0.176 0.622 0.791
O12 O 0.176 0.878 0.791
O13 O 0.324 0.122 0.291
O14 O 0.324 0.378 0.291
O15 O 0.333 0.250 0.156
O16 O 0.414 0.503 0.923
O17 O 0.414 0.997 0.923
O18 O 0.419 0.615 0.536
O19 O 0.419 0.885 0.536
O20 O 0.438 0.750 0.004
O21 O 0.452 0.123 0.620
O22 O 0.452 0.377 0.620
O23 O 0.476 0.125 0.776
O24 O 0.476 0.375 0.776
O25 O 0.524 0.625 0.224
O26 O 0.524 0.875 0.224
O27 O 0.548 0.623 0.380
O28 O 0.548 0.877 0.380
O29 O 0.562 0.250 0.996
O30 O 0.581 0.115 0.464
O31 O 0.581 0.385 0.464
O32 O 0.586 0.003 0.077
O33 O 0.586 0.497 0.077
O34 O 0.667 0.750 0.844
O35 O 0.676 0.622 0.709
O36 O 0.676 0.878 0.709
O37 O 0.824 0.122 0.209
O38 O 0.824 0.378 0.209
O39 O 0.833 0.250 0.344
O40 O 0.914 0.503 0.577
O41 O 0.914 0.997 0.577
O42 O 0.919 0.615 0.964
O43 O 0.919 0.885 0.964
O44 O 0.938 0.750 0.496
O45 O 0.952 0.123 0.880
O46 O 0.952 0.377 0.880
O47 O 0.976 0.125 0.724
O48 O 0.976 0.375 0.724
```



MgMoP2O: relaxed, PBE+U.

Properties
Final energy: -4.050 eV per atom
Relative energy among the computed polymorphs: 1014.4 meV per atom

The structure in CIF format:
```
data_MgMoP2O
_cell_length_a 4.838
_cell_length_b 4.838
_cell_length_c 3.547
_cell_angle_alpha 90.00
_cell_angle_beta 90.00
_cell_angle_gamma 90.00
_space_group_name_H-M_alt 'P 1'
_space_group_IT_number 1
loop_
_space_group_symop_operation_xyz
'x,y,z'
loop_
_atom_site_label
_atom_site_type_symbol
_atom_site_fract_x
_atom_site_fract_y
_atom_site_fract_z
Mg1 Mg 0.000 0.000 0.000
Mo1 Mo 0.500 0.500 0.500
P1 P 0.000 0.500 0.000
P2 P 0.500 0.000 0.000
O1 O 0.000 0.000 0.500
```



MgMoP2O: relaxed, PBE+U.

Properties
Final energy: -5.064 eV per atom
Relative energy among the computed polymorphs: 0.0 meV per atom

The structure in CIF format:
```
data_MgMoP2O
_cell_length_a 4.879
_cell_length_b 4.879
_cell_length_c 3.802
_cell_angle_alpha 90.00
_cell_angle_beta 90.00
_cell_angle_gamma 90.00
_space_group_name_H-M_alt 'P 1'
_space_group_IT_number 1
loop_
_space_group_symop_operation_xyz
'x,y,z'
loop_
_atom_site_label
_atom_site_type_symbol
_atom_site_fract_x
_atom_site_fract_y
_atom_site_fract_z
Mg1 Mg 0.000 0.000 0.000
Mo1 Mo 0.500 0.500 0.500
P1 P 0.000 0.500 0.500
P2 P 0.500 0.000 0.500
O1 O 0.500 0.500 0.000
```



Mg2PaMoO6: relaxed, PBE+U.

Properties
Final energy: -7.670 eV per atom

The structure in CIF format:
```
data_Mg2PaMoO6
_cell_length_a 5.810
_cell_length_b 5.810
_cell_length_c 5.810
_cell_angle_alpha 55.96
_cell_angle_beta 55.96
_cell_angle_gamma 55.96
_space_group_name_H-M_alt 'P 1'
_space_group_IT_number 1
loop_
_space_group_symop_operation_xyz
'x,y,z'
loop_
_atom_site_label
_atom_site_type_symbol
_atom_site_fract_x
_atom_site_fract_y
_atom_site_fract_z
Mg1 Mg 0.000 0.000 0.000
Mg2 Mg 0.498 0.498 0.498
Pa1 Pa 0.289 0.289 0.289
Mo1 Mo 0.793 0.793 0.793
O1 O 0.091 0.694 0.383
O2 O 0.197 0.596 0.878
O3 O 0.383 0.091 0.694
O4 O 0.596 0.878 0.197
O5 O 0.694 0.383 0.091
O6 O 0.878 0.197 0.596
```



Mg4PaMoO8: relaxed, PBE+U.

Properties
Final energy: -7.078 eV per atom

The structure in CIF format:
```
data_Mg4PaMoO8
_cell_length_a 6.296
_cell_length_b 6.296
_cell_length_c 6.296
_cell_angle_alpha 58.90
_cell_angle_beta 58.90
_cell_angle_gamma 58.90
_space_group_name_H-M_alt 'P 1'
_space_group_IT_number 1
loop_
_space_group_symop_operation_xyz
'x,y,z'
loop_
_atom_site_label
_atom_site_type_symbol
_atom_site_fract_x
_atom_site_fract_y
_atom_site_fract_z
Mg1 Mg 0.000 0.000 0.000
Mg2 Mg 0.109 0.636 0.636
Mg3 Mg 0.636 0.109 0.636
Mg4 Mg 0.636 0.636 0.109
Pa1 Pa 0.261 0.261 0.261
Mo1 Mo 0.628 0.628 0.628
O1 O 0.381 0.381 0.850
O2 O 0.381 0.850 0.381
O3 O 0.393 0.393 0.393
O4 O 0.397 0.869 0.869
O5 O 0.850 0.381 0.381
O6 O 0.869 0.397 0.869
O7 O 0.869 0.869 0.397
O8 O 0.870 0.870 0.870
```



MgMo2PbO8: relaxed, PBE+U.

Properties
Final energy: -6.702 eV per atom

The structure in CIF format:
```
data_MgMo2PbO8
_cell_length_a 5.832
_cell_length_b 5.832
_cell_length_c 6.769
_cell_angle_alpha 90.00
_cell_angle_beta 90.00
_cell_angle_gamma 120.00
_space_group_name_H-M_alt 'P 1'
_space_group_IT_number 1
loop_
_space_group_symop_operation_xyz
'x,y,z'
loop_
_atom_site_label
_atom_site_type_symbol
_atom_site_fract_x
_atom_site_fract_y
_atom_site_fract_z
Mg1 Mg 0.000 0.000 0.000
Mo1 Mo 0.333 0.667 0.271
Mo2 Mo 0.667 0.333 0.729
Pb1 Pb 0.000 0.000 0.500
O1 O 0.162 0.323 0.194
O2 O 0.162 0.838 0.194
O3 O 0.323 0.162 0.806
O4 O 0.333 0.667 0.531
O5 O 0.667 0.333 0.469
O6 O 0.677 0.838 0.194
O7 O 0.838 0.162 0.806
O8 O 0.838 0.677 0.806
```



MgMoPb2O6: relaxed, PBE+U.

Properties
Final energy: -6.234 eV per atom

The structure in CIF format:
```
data_MgMoPb2O6
_cell_length_a 5.699
_cell_length_b 5.699
_cell_length_c 5.699
_cell_angle_alpha 60.00
_cell_angle_beta 60.00
_cell_angle_gamma 60.00
_space_group_name_H-M_alt 'P 1'
_space_group_IT_number 1
loop_
_space_group_symop_operation_xyz
'x,y,z'
loop_
_atom_site_label
_atom_site_type_symbol
_atom_site_fract_x
_atom_site_fract_y
_atom_site_fract_z
Mg1 Mg 0.000 0.000 0.000
Mo1 Mo 0.500 0.500 0.500
Pb1 Pb 0.250 0.250 0.250
Pb2 Pb 0.750 0.750 0.750
O1 O 0.258 0.258 0.742
O2 O 0.258 0.742 0.258
O3 O 0.258 0.742 0.742
O4 O 0.742 0.258 0.258
O5 O 0.742 0.258 0.742
O6 O 0.742 0.742 0.258
```



MgMoPdO2: relaxed, PBE+U.

Properties
Final energy: -4.306 eV per atom

The structure in CIF format:
```
data_MgMoPdO2
_cell_length_a 4.182
_cell_length_b 4.182
_cell_length_c 4.689
_cell_angle_alpha 90.00
_cell_angle_beta 90.00
_cell_angle_gamma 90.00
_space_group_name_H-M_alt 'P 1'
_space_group_IT_number 1
loop_
_space_group_symop_operation_xyz
'x,y,z'
loop_
_atom_site_label
_atom_site_type_symbol
_atom_site_fract_x
_atom_site_fract_y
_atom_site_fract_z
Mg1 Mg 0.000 0.000 0.000
Mo1 Mo 0.500 0.500 0.000
Pd1 Pd 0.000 0.000 0.500
O1 O 0.000 0.500 0.500
O2 O 0.500 0.000 0.500
```



PmMgMo2O8: relaxed, PBE+U.

Properties
Final energy: -7.201 eV per atom

The structure in CIF format:
```
data_PmMgMo2O8
_cell_length_a 6.695
_cell_length_b 6.695
_cell_length_c 6.695
_cell_angle_alpha 134.34
_cell_angle_beta 134.34
_cell_angle_gamma 66.56
_space_group_name_H-M_alt 'P 1'
_space_group_IT_number 1
loop_
_space_group_symop_operation_xyz
'x,y,z'
loop_
_atom_site_label
_atom_site_type_symbol
_atom_site_fract_x
_atom_site_fract_y
_atom_site_fract_z
Pm1 Pm 0.000 0.000 0.000
Mg1 Mg 0.750 0.250 0.500
Mo1 Mo 0.250 0.750 0.500
Mo2 Mo 0.500 0.500 0.000
O1 O 0.072 0.649 0.056
O2 O 0.169 0.249 0.592
O3 O 0.351 0.408 0.424
O4 O 0.423 0.831 0.080
O5 O 0.592 0.016 0.944
O6 O 0.657 0.577 0.408
O7 O 0.751 0.343 0.920
O8 O 0.984 0.928 0.576
```